[1]
Mn2Nb3Tc | the Alexandria database | PBE | relaxed; symmetry = P4/mmm (123)
1.0
3.1180 0.0000 0.0000
0.0000 3.1180 0.0000
0.0000 0.0000 9.3326
Mn Nb Tc
2 3 1
direct
0.5000 0.5000 0.8366 Mn
0.5000 0.5000 0.1634 Mn
0.0000 0.0000 0.0000 Nb
0.0000 0.0000 0.6733 Nb
0.0000 0.0000 0.3267 Nb
0.5000 0.5000 0.5000 Tc


[2]
BaAcBi2 | the Alexandria database | PBE | relaxed; relative energy among the computed polymorphs = 45 meV/atom; symmetry = P2/c (13)
1.0
-5.2135 3.9019 -2.5803
-4.6472 -4.9152 1.9571
0.8411 4.3442 12.9077
Ba Ac Bi
4 4 8
direct
0.5596 0.9035 0.3678 Ba
0.4404 0.0965 0.6322 Ba
0.9404 0.9035 0.1322 Ba
0.0596 0.0965 0.8678 Ba
0.9366 0.6034 0.6248 Ac
0.0634 0.3966 0.3752 Ac
0.5634 0.6034 0.8752 Ac
0.4366 0.3966 0.1248 Ac
0.9358 0.4063 0.1196 Bi
0.0642 0.5937 0.8804 Bi
0.5642 0.4063 0.3804 Bi
0.4358 0.5937 0.6196 Bi
0.5729 0.0984 0.9083 Bi
0.4271 0.9016 0.0917 Bi
0.9271 0.0984 0.5917 Bi
0.0729 0.9016 0.4083 Bi


E_form in eV per atom, matching the order above: -0.179, -0.793
Final energy in eV per atom, matching the order above: -9.998, -4.242